Record 1
Here is a geometry-optimized Y4Rh3 structure from Alexandria. Energies are from PBE.

a b c (Å): 5.553 5.553 5.724
angles (deg): 90.00 90.00 120.00
Element x y z (fractional)
Y: 0.000 0.000 0.236
Y: 0.000 0.000 0.764
Y: 0.333 0.667 0.500
Y: 0.667 0.333 0.500
Rh: 0.000 0.500 0.000
Rh: 0.500 0.000 0.000
Rh: 0.500 0.500 0.000

Values from the calculation:
ΔH_f (0 K)	-358	meV/atom
symmetry	No. 191

Record 2
Here is a geometry-optimized Nd6Y2Er3In structure from Alexandria. Energies are from PBE.

a b c (Å): 6.198 6.198 11.825
angles (deg): 95.05 95.05 120.11
Element x y z (fractional)
Nd: 0.083 0.410 0.750
Nd: 0.243 0.243 0.249
Nd: 0.410 0.083 0.750
Nd: 0.590 0.917 0.250
Nd: 0.757 0.757 0.751
Nd: 0.917 0.590 0.250
Y: 0.334 0.666 0.500
Y: 0.666 0.334 0.500
Er: 0.168 0.832 0.000
Er: 0.500 0.500 0.000
Er: 0.832 0.168 0.000
In: 0.000 0.000 0.500

Values from the calculation:
ΔH_f (0 K)	-37	meV/atom
symmetry	No. 12

Record 3
Here is a geometry-optimized Y2AlTlNi structure from Alexandria. Energies are from PBE.

a b c (Å): 5.220 5.220 4.571
angles (deg): 90.00 90.00 90.00
Element x y z (fractional)
Y: 0.000 0.500 0.000
Y: 0.500 0.000 0.000
Al: 0.000 0.000 0.500
Tl: 0.500 0.500 0.500
Ni: 0.000 0.000 0.000

Values from the calculation:
ΔH_f (0 K)	-291	meV/atom
symmetry	No. 123

Record 4
Here is a geometry-optimized YPBr2 structure from Alexandria. Energies are from PBE.

a b c (Å): 4.516 4.516 4.651
angles (deg): 90.00 90.00 90.00
Element x y z (fractional)
Y: 0.000 0.000 0.000
P: 0.500 0.500 0.000
Br: 0.000 0.500 0.500
Br: 0.500 0.000 0.500

Values from the calculation:
E_form (uncorrected)	-1.83	eV/f.u.
symmetry	No. 123

Record 5
Here is a geometry-optimized NdHoAs structure from Alexandria. Energies are from PBE.

a b c (Å): 4.346 4.346 8.354
angles (deg): 90.00 90.00 90.00
Element x y z (fractional)
Nd: 0.250 0.250 0.144
Nd: 0.750 0.750 0.856
Ho: 0.250 0.750 0.500
Ho: 0.750 0.250 0.500
As: 0.250 0.250 0.769
As: 0.750 0.750 0.231

Values from the calculation:
ΔH_f (0 K)	-929	meV/atom
symmetry	No. 129

Record 6
Here is a geometry-optimized Ca2PrYTe4 structure from Alexandria. Energies are from PBE.

a b c (Å): 7.691 4.436 7.860
angles (deg): 90.00 109.02 90.00
Element x y z (fractional)
Ca: 0.000 0.000 0.000
Ca: 0.500 0.500 0.000
Pr: 0.000 0.500 0.500
Y: 0.500 0.000 0.500
Te: 0.257 0.500 0.251
Te: 0.258 0.000 0.754
Te: 0.742 0.000 0.246
Te: 0.743 0.500 0.749

Values from the calculation:
E_form (uncorrected)	-11.94	eV/f.u.
symmetry	No. 10

Record 7
Here is a geometry-optimized Li2MoPt2 structure from Alexandria. Energies are from PBE.

a b c (Å): 2.969 2.969 15.708
angles (deg): 90.00 90.00 90.00
Element x y z (fractional)
Li: 0.000 0.500 0.250
Li: 0.000 0.500 0.750
Li: 0.500 0.000 0.250
Li: 0.500 0.000 0.750
Mo: 0.000 0.000 0.000
Mo: 0.500 0.500 0.500
Pt: 0.000 0.000 0.387
Pt: 0.000 0.000 0.613
Pt: 0.500 0.500 0.113
Pt: 0.500 0.500 0.887

Values from the calculation:
ΔH_f (0 K)	-73	meV/atom
symmetry	No. 139

Record 8
Here is a geometry-optimized Ca3Pm3Pd4 structure from Alexandria. Energies are from PBE.

a b c (Å): 4.095 7.943 7.943
angles (deg): 89.07 90.00 90.00
Element x y z (fractional)
Ca: 0.000 0.000 0.000
Ca: 0.500 0.333 0.840
Ca: 0.500 0.840 0.333
Pm: 0.000 0.175 0.500
Pm: 0.000 0.500 0.175
Pm: 0.000 0.676 0.676
Pd: 0.500 0.213 0.213
Pd: 0.500 0.472 0.472
Pd: 0.500 0.699 0.965
Pd: 0.500 0.965 0.699

Values from the calculation:
ΔH_f (0 K)	-654	meV/atom
symmetry	No. 38

Record 9
Here is a geometry-optimized Ce3Y structure from Alexandria. Energies are from PBE.

a b c (Å): 3.447 3.447 11.139
angles (deg): 90.00 90.00 120.00
Element x y z (fractional)
Ce: 0.000 0.000 0.000
Ce: 0.667 0.333 0.243
Ce: 0.667 0.333 0.757
Y: 0.333 0.667 0.500

Values from the calculation:
ΔH_f (0 K)	71	meV/atom
symmetry	No. 187

Record 10
Here is a geometry-optimized HfRh structure from Alexandria. Energies are from PBE.

a b c (Å): 7.366 7.366 4.935
angles (deg): 90.00 90.00 120.00
Element x y z (fractional)
Hf: 0.089 0.785 0.250
Hf: 0.215 0.305 0.250
Hf: 0.305 0.089 0.750
Hf: 0.695 0.911 0.250
Hf: 0.785 0.695 0.750
Hf: 0.911 0.215 0.750
Rh: 0.111 0.646 0.750
Rh: 0.354 0.465 0.750
Rh: 0.465 0.111 0.250
Rh: 0.535 0.889 0.750
Rh: 0.646 0.535 0.250
Rh: 0.889 0.354 0.250

Values from the calculation:
ΔH_f (0 K)	-558	meV/atom
symmetry	No. 176

Record 11
Here is a geometry-optimized Mn2NiAg structure from Alexandria. Energies are from PBE.

a b c (Å): 5.719 7.026 2.890
angles (deg): 90.00 90.00 90.00
Element x y z (fractional)
Mn: 0.250 0.250 0.000
Mn: 0.250 0.750 0.000
Mn: 0.750 0.250 0.000
Mn: 0.750 0.750 0.000
Ni: 0.000 0.000 0.500
Ni: 0.500 0.500 0.500
Ag: 0.000 0.500 0.500
Ag: 0.500 0.000 0.500

Values from the calculation:
ΔH_f (0 K)	255	meV/atom
symmetry	No. 65

Record 12
Here is a geometry-optimized Mg2NiRu2 structure from Alexandria. Energies are from PBE.

a b c (Å): 6.252 6.252 4.218
angles (deg): 90.00 90.00 90.00
Element x y z (fractional)
Mg: 0.172 0.328 0.000
Mg: 0.328 0.828 0.000
Mg: 0.672 0.172 0.000
Mg: 0.828 0.672 0.000
Ni: 0.000 0.000 0.500
Ni: 0.500 0.500 0.500
Ru: 0.134 0.634 0.500
Ru: 0.366 0.134 0.500
Ru: 0.634 0.866 0.500
Ru: 0.866 0.366 0.500

Values from the calculation:
ΔH_f (0 K)	193	meV/atom
symmetry	No. 127

Record 13
Here is a geometry-optimized Rb3GaBi structure from Alexandria. Energies are from PBE.

a b c (Å): 7.176 7.176 7.176
angles (deg): 90.00 90.00 90.00
Element x y z (fractional)
Rb: 0.000 0.000 0.500
Rb: 0.000 0.500 0.000
Rb: 0.500 0.000 0.000
Ga: 0.500 0.500 0.500
Bi: 0.000 0.000 0.000

Values from the calculation:
ΔH_f (0 K)	226	meV/atom
symmetry	No. 221

Record 14
Here is a geometry-optimized Ga2BiAu3 structure from Alexandria. Energies are from PBE.

a b c (Å): 3.775 13.043 5.217
angles (deg): 90.00 90.00 90.00
Element x y z (fractional)
Ga: 0.250 0.060 0.170
Ga: 0.250 0.440 0.170
Ga: 0.750 0.560 0.830
Ga: 0.750 0.940 0.830
Bi: 0.250 0.750 0.160
Bi: 0.750 0.250 0.840
Au: 0.250 0.072 0.676
Au: 0.250 0.250 0.333
Au: 0.250 0.428 0.676
Au: 0.750 0.572 0.324
Au: 0.750 0.750 0.667
Au: 0.750 0.928 0.324

Values from the calculation:
ΔH_f (0 K)	-146	meV/atom
symmetry	No. 59

Record 15
Here is a geometry-optimized La8Co3SiBr4 structure from Alexandria. Energies are from PBE.

a b c (Å): 8.495 8.495 9.118
angles (deg): 117.53 117.53 57.40
Element x y z (fractional)
La: 0.218 0.755 0.698
La: 0.243 0.243 0.697
La: 0.245 0.782 0.302
La: 0.261 0.261 0.314
La: 0.739 0.739 0.686
La: 0.755 0.218 0.698
La: 0.757 0.757 0.303
La: 0.782 0.245 0.302
Co: 0.000 0.000 0.500
Co: 0.000 0.500 0.500
Co: 0.500 0.000 0.500
Si: 0.500 0.500 0.500
Br: 0.000 0.000 0.000
Br: 0.000 0.500 0.000
Br: 0.500 0.000 0.000
Br: 0.500 0.500 0.000

Values from the calculation:
E_form (uncorrected)	-13.70	eV/f.u.
symmetry	No. 12

Record 16
Here is a geometry-optimized La2Tb3Sn4 structure from Alexandria. Energies are from PBE.

a b c (Å): 9.378 9.378 9.014
angles (deg): 90.00 90.00 135.28
Element x y z (fractional)
La: 0.111 0.889 0.912
La: 0.389 0.611 0.412
La: 0.611 0.389 0.588
La: 0.889 0.111 0.088
Tb: 0.000 0.000 0.500
Tb: 0.043 0.457 0.750
Tb: 0.457 0.043 0.250
Tb: 0.500 0.500 0.000
Tb: 0.543 0.957 0.750
Tb: 0.957 0.543 0.250
Sn: 0.186 0.814 0.555
Sn: 0.218 0.282 0.750
Sn: 0.282 0.218 0.250
Sn: 0.314 0.686 0.055
Sn: 0.686 0.314 0.945
Sn: 0.718 0.782 0.750
Sn: 0.782 0.718 0.250
Sn: 0.814 0.186 0.445

Values from the calculation:
ΔH_f (0 K)	-671	meV/atom
symmetry	No. 64

Record 17
Here is a geometry-optimized LiLa2GaFe structure from Alexandria. Energies are from PBE.

a b c (Å): 5.220 5.220 4.773
angles (deg): 90.00 90.00 90.00
Element x y z (fractional)
Li: 0.000 0.000 0.000
La: 0.000 0.500 0.500
La: 0.500 0.000 0.500
Ga: 0.500 0.500 0.000
Fe: 0.500 0.500 0.500

Values from the calculation:
ΔH_f (0 K)	-123	meV/atom
symmetry	No. 123

Record 18
Here is a geometry-optimized Ba2Mg4Si3Ge structure from Alexandria. Energies are from PBE.

a b c (Å): 4.628 4.628 11.464
angles (deg): 90.00 90.00 90.00
Element x y z (fractional)
Ba: 0.000 0.500 0.249
Ba: 0.500 0.000 0.751
Mg: 0.000 0.000 0.500
Mg: 0.000 0.500 0.868
Mg: 0.500 0.000 0.132
Mg: 0.500 0.500 0.500
Si: 0.000 0.000 0.000
Si: 0.000 0.500 0.634
Si: 0.500 0.000 0.366
Ge: 0.500 0.500 0.000

Values from the calculation:
E_form (uncorrected)	-3.23	eV/f.u.
symmetry	No. 115

Record 19
Here is a geometry-optimized DyYTe6 structure from Alexandria. Energies are from PBE.

a b c (Å): 4.344 4.343 26.894
angles (deg): 90.00 90.00 90.00
Element x y z (fractional)
Dy: 0.000 0.000 0.000
Dy: 0.000 0.500 0.500
Y: 0.500 0.000 0.654
Y: 0.500 0.500 0.154
Te: 0.000 0.000 0.119
Te: 0.000 0.000 0.407
Te: 0.000 0.000 0.747
Te: 0.000 0.500 0.247
Te: 0.000 0.500 0.619
Te: 0.000 0.500 0.907
Te: 0.500 0.000 0.248
Te: 0.500 0.000 0.535
Te: 0.500 0.000 0.907
Te: 0.500 0.500 0.035
Te: 0.500 0.500 0.407
Te: 0.500 0.500 0.748

Values from the calculation:
E_form (uncorrected)	-7.34	eV/f.u.
symmetry	No. 38

Record 20
Here is a geometry-optimized NpGaAg structure from Alexandria. Energies are from PBE.

a b c (Å): 7.900 7.900 7.900
angles (deg): 31.73 31.73 31.73
Element x y z (fractional)
Np: 0.152 0.152 0.152
Np: 0.848 0.848 0.848
Ga: 0.415 0.415 0.415
Ga: 0.585 0.585 0.585
Ag: 0.296 0.296 0.296
Ag: 0.704 0.704 0.704

Values from the calculation:
ΔH_f (0 K)	163	meV/atom
symmetry	No. 166

no.,V (Å³ per atom)
1,21.840
2,32.235
3,24.912
4,23.708
5,26.295
6,31.686
7,13.849
8,25.829
9,28.657
10,19.326
11,14.518
12,16.488
13,73.903
14,21.410
15,29.449
16,30.984
17,26.011
18,24.556
19,31.711
20,20.179